No. 1
Compound: VHRu2
Source: Alexandria
Functional: PBE-GGA
Structure: relaxed

```
VHRu2
1.0
2.721 0.000 0.000
0.000 3.913 0.000
0.000 0.000 8.169
V H Ru
2 2 4
Direct
0.000 0.000 0.000
0.500 0.500 0.500
0.000 0.500 0.000
0.500 0.000 0.500
0.000 0.000 0.328
0.000 0.000 0.672
0.500 0.500 0.172
0.500 0.500 0.828
```

density of states at the Fermi level: 9.7 states/eV per cell
energy: -7.7967 eV/atom
size of the total moment: 0.0 μB per formula unit


No. 2
Compound: K2TiTe2
Source: Alexandria
Functional: PBE-GGA
Structure: relaxed

```
K2TiTe2
1.0
-3.949 7.102 3.341
3.949 -7.102 3.341
3.949 7.102 -3.341
K Ti Te
4 2 4
Direct
0.144 0.161 0.304
0.356 0.661 0.017
0.644 0.339 0.983
0.856 0.839 0.696
0.250 0.750 0.500
0.750 0.250 0.500
0.107 0.704 0.811
0.393 0.204 0.596
0.607 0.796 0.404
0.893 0.296 0.189
```

density of states at the Fermi level: 6.5 states/eV per cell
energy: -4.0776 eV/atom
size of the total moment: 2.0 μB per formula unit
ΔE_f (raw): -0.80 eV/atom


No. 3
Compound: KMnOs2
Source: Alexandria
Functional: PBE-GGA
Structure: relaxed

```
KMnOs2
1.0
3.805 0.000 0.000
0.000 3.805 0.000
0.000 0.000 4.827
K Mn Os
1 1 2
Direct
0.000 0.000 0.000
0.500 0.500 0.000
0.000 0.500 0.500
0.500 0.000 0.500
```

density of states at the Fermi level: 4.9 states/eV per cell
energy: -6.6110 eV/atom
formation enthalpy at 0 K: 6.28 eV/f.u.
size of the total moment: 4.4 μB per formula unit


No. 4
Compound: Ba2TbIO6
Source: Alexandria
Functional: PBE-GGA
Structure: relaxed

```
Ba2TbIO6
1.0
0.000 4.359 4.359
4.359 0.000 4.359
4.359 4.359 0.000
Ba Tb I O
2 1 1 6
Direct
0.250 0.250 0.250
0.750 0.750 0.750
0.000 0.000 0.000
0.500 0.500 0.500
0.258 0.258 0.742
0.258 0.742 0.258
0.258 0.742 0.742
0.742 0.258 0.258
0.742 0.258 0.742
0.742 0.742 0.258
```

density of states at the Fermi level: 0.0 states/eV per cell
energy: -6.1449 eV/atom
size of the total moment: 0.0 μB per formula unit
ΔE_f (raw): -2.17 eV/atom


No. 5
Compound: LaNd2Tm6
Source: Alexandria
Functional: PBE-GGA
Structure: relaxed

```
LaNd2Tm6
1.0
9.719 0.000 0.000
-4.859 8.417 0.000
0.000 0.000 3.529
La Nd Tm
1 2 6
Direct
0.000 0.000 0.000
0.333 0.667 0.763
0.667 0.333 0.237
0.022 0.669 0.269
0.331 0.353 0.269
0.353 0.022 0.731
0.647 0.978 0.269
0.669 0.647 0.731
0.978 0.331 0.731
```

density of states at the Fermi level: 14.1 states/eV per cell
energy: -4.5116 eV/atom
formation enthalpy at 0 K: 0.69 eV/f.u.
size of the total moment: 0.0 μB per formula unit


No. 6
Compound: Li2ErSbO4
Source: Alexandria
Functional: PBE-GGA
Structure: relaxed

```
Li2ErSbO4
1.0
10.350 0.000 0.000
0.000 4.213 0.000
-2.420 0.000 4.867
Li Er Sb O
4 2 2 8
Direct
0.000 0.000 0.000
0.169 0.500 0.145
0.500 0.500 0.000
0.669 0.000 0.145
0.221 0.000 0.671
0.721 0.500 0.671
0.435 0.000 0.345
0.935 0.500 0.345
0.186 0.500 0.536
0.198 0.000 0.048
0.453 0.000 0.988
0.480 0.500 0.347
0.686 0.000 0.536
0.698 0.500 0.048
0.953 0.500 0.988
0.980 0.000 0.347
```

density of states at the Fermi level: 0.0 states/eV per cell
energy: -6.2533 eV/atom
size of the total moment: 0.0 μB per formula unit
ΔE_f (raw): -2.21 eV/atom


No. 7
Compound: K4HICl2
Source: Alexandria
Functional: PBE-GGA
Structure: relaxed

```
K4HICl2
1.0
6.518 -6.511 0.000
6.518 6.511 0.000
-6.495 0.000 6.525
K H I Cl
8 2 2 4
Direct
0.222 0.239 0.481
0.239 0.222 0.981
0.239 0.758 0.503
0.242 0.761 0.997
0.758 0.239 0.003
0.761 0.242 0.497
0.761 0.778 0.019
0.778 0.761 0.519
0.000 0.500 0.500
0.500 0.000 0.000
0.500 0.500 0.000
0.500 0.500 0.500
0.000 0.000 0.000
0.000 0.000 0.500
0.000 0.500 0.000
0.500 0.000 0.500
```

density of states at the Fermi level: 0.0 states/eV per cell
energy: -2.9744 eV/atom
size of the total moment: 0.0 μB per formula unit


No. 8
Compound: MgBP3
Source: Alexandria
Functional: PBE-GGA
Structure: relaxed

```
MgBP3
1.0
4.763 0.000 0.000
0.000 4.763 0.000
0.000 0.000 4.763
Mg B P
1 1 3
Direct
0.000 0.000 0.000
0.500 0.500 0.500
0.000 0.000 0.500
0.000 0.500 0.000
0.500 0.000 0.000
```

density of states at the Fermi level: 3.9 states/eV per cell
energy: -3.0563 eV/atom
formation enthalpy at 0 K: 9.22 eV/f.u.
size of the total moment: 0.0 μB per formula unit